[1]
Entry from the Alexandria database: a relaxed structure of TaCd2Fe (PBE).

Unit cell a=10.0322 b=10.0322 c=10.0322 alpha=16.60 beta=16.60 gamma=16.60
Fractional coordinates of all 4 atoms:
Ta  0.0000  0.0000  0.0000
Cd  0.2443  0.2443  0.2443
Cd  0.7557  0.7557  0.7557
Fe  0.5000  0.5000  0.5000

Calculated values
The energy relative to the lowest polymorph listed for this composition comes out at 92 kJ/mol of formula units. For the energy relative to the elements, the calculation gives 1.57 eV/f.u. For the spin magnetization, the calculation gives 2.629 μB/f.u.

[2]
Entry from the Alexandria database: a relaxed structure of LiNiPt (PBE).

Unit cell a=7.0096 b=6.7678 c=2.6404 alpha=84.15 beta=73.84 gamma=22.01
Fractional coordinates of all 3 atoms:
Li  0.0000  0.0000  0.0000
Ni  0.6598  0.6598  0.3402
Pt  0.3325  0.3325  0.6675

Calculated values
The energy relative to the lowest polymorph listed for this composition comes out at 38 kJ/mol of formula units. For the energy relative to the elements, the calculation gives -0.31 eV/f.u. For the spin magnetization, the calculation gives 0.405 μB/f.u.

[3]
Entry from the Alexandria database: a relaxed structure of ScB2Ir3 (PBE).

Unit cell a=5.4317 b=5.4317 c=3.0868 alpha=90.00 beta=90.00 gamma=120.00
Fractional coordinates of all 6 atoms:
Sc  0.0000  0.0000  0.0000
B  0.3333  0.6667  0.0000
B  0.6667  0.3333  0.0000
Ir  0.0000  0.5000  0.5000
Ir  0.5000  0.0000  0.5000
Ir  0.5000  0.5000  0.5000

Calculated values
For the energy relative to the elements, the calculation gives -3.66 eV/f.u. For the spin magnetization, the calculation gives 0.000 μB/f.u.

[4]
Entry from the Alexandria database: a relaxed structure of ScZnOs3 (PBE).

Unit cell a=4.5029 b=4.5029 c=4.5029 alpha=90.00 beta=90.00 gamma=90.00
Fractional coordinates of all 5 atoms:
Sc  0.0000  0.0000  0.0000
Zn  0.5000  0.5000  0.5000
Os  0.0000  0.5000  0.5000
Os  0.5000  0.0000  0.5000
Os  0.5000  0.5000  0.0000

Calculated values
The energy relative to the lowest polymorph listed for this composition comes out at 0 kJ/mol of formula units. For the energy relative to the elements, the calculation gives 7.14 eV/f.u. For the spin magnetization, the calculation gives 1.283 μB/f.u.

[5]
Entry from the Alexandria database: a relaxed structure of Cs2TeH2 (PBE).

Unit cell a=9.6631 b=9.6631 c=6.4147 alpha=90.00 beta=90.00 gamma=90.00
Fractional coordinates of all 10 atoms:
Cs  0.1665  0.3335  0.0000
Cs  0.3335  0.8335  0.0000
Cs  0.6665  0.1665  0.0000
Cs  0.8335  0.6665  0.0000
Te  0.0000  0.0000  0.0000
Te  0.5000  0.5000  0.0000
H  0.0276  0.5276  0.5000
H  0.4724  0.0276  0.5000
H  0.5276  0.9724  0.5000
H  0.9724  0.4724  0.5000

Calculated values
The energy relative to the lowest polymorph listed for this composition comes out at 114 kJ/mol of formula units. For the spin magnetization, the calculation gives 0.000 μB/f.u.

[6]
Entry from the Alexandria database: a relaxed structure of RbSnB (PBE).

Unit cell a=7.1406 b=7.1406 c=4.0007 alpha=98.07 beta=98.07 gamma=113.67
Fractional coordinates of all 6 atoms:
Rb  0.2294  0.7706  0.0000
Rb  0.7706  0.2294  0.0000
Sn  0.3670  0.3670  0.3772
Sn  0.7419  0.7419  0.3177
B  0.0174  0.0174  0.6289
B  0.2223  0.2223  0.8064

Calculated values
For the energy relative to the elements, the calculation gives 1.12 eV/f.u. For the spin magnetization, the calculation gives 0.000 μB/f.u.

> The highest spin magnetization belongs to which entry?

TaCd2Fe

> Look up the spin magnetization of the fourth one.

1.283 μB/f.u.